Entry from Alexandria: a relaxed structure of NiAg2Cl (GGA-PBEsol).

The value obtained for the total moment is 0.63 μB per formula unit. The space-group type is I4/mmm (139). The relative energy among the computed polymorphs is 0.21 eV/f.u. The total energy comes out at -3.26 eV/atom. For the uncorrected formation energy, the calculation gives 42 kJ/mol of atoms.

Unit cell a=3.842 b=3.842 c=5.110 alpha=112.08 beta=112.08 gamma=90.00
Site moments in Bohr magnetons follow the coordinates.
Sites, in units of the cell vectors:
1 Ni 0.000 0.000 0.000  0.55
2 Ag 0.750 0.250 0.500  0.01
3 Cl 0.500 0.500 0.000  0.04
4 Ag 0.250 0.750 0.500  0.01